Arrangement A

Compound: YFeReSb
Source: OQMD
Functional: GGA-PBE
Structure: optimized geometry

The structure belongs to space group F-43m (No. 216); the cell edges are 6.7377, 6.7377 and 6.7377 Å and the angles 90.00°, 90.00° and 90.00°. The asymmetric unit holds Y at (0.0000, 0.0000, 0.0000), Fe at (0.0000, 0.0000, 0.5000), Re at (0.2500, 0.2500, 0.7500) and Sb at (0.2500, 0.2500, 0.2500).

For the total magnetization, the calculation gives 4.28 μB/f.u. Its calculated volume is 19.12 A^3/atom.



Arrangement B

Compound: YFeReSb
Source: OQMD
Functional: GGA-PBE
Structure: optimized geometry

The structure belongs to space group F-43m (No. 216); the cell edges are 6.5535, 6.5535 and 6.5535 Å and the angles 90.00°, 90.00° and 90.00°. The asymmetric unit holds Y at (0.0000, 0.0000, 0.0000), Fe at (0.2500, 0.2500, 0.7500), Re at (0.2500, 0.2500, 0.2500) and Sb at (0.0000, 0.0000, 0.5000).

For the total magnetization, the calculation gives 0.97 μB/f.u. Its calculated volume is 17.59 A^3/atom.



Stability ranking, top entry: arrangement B; the second entry is 20.6 kJ/mol of atoms less favorable.



Arrangement A

Compound: UFeRe
Source: OQMD
Functional: GGA-PBE
Structure: optimized geometry

The structure belongs to space group F-43m (No. 216); the cell edges are 5.9558, 5.9558 and 5.9558 Å and the angles 90.00°, 90.00° and 90.00°. The asymmetric unit holds U at (0.0000, 0.0000, 0.0000), Fe at (0.2500, 0.2500, 0.2500) and Re at (0.0000, 0.0000, 0.5000).

For the total magnetization, the calculation gives 0.23 μB/f.u. Its calculated volume is 17.61 A^3/atom.



Arrangement B

Compound: UFeRe
Source: OQMD
Functional: GGA-PBE
Structure: optimized geometry

The structure belongs to space group F-43m (No. 216); the cell edges are 6.0572, 6.0572 and 6.0572 Å and the angles 90.00°, 90.00° and 90.00°. The asymmetric unit holds U at (0.0000, 0.0000, 0.0000), Fe at (0.2500, 0.2500, 0.7500) and Re at (0.2500, 0.2500, 0.2500).

For the total magnetization, the calculation gives 1.11 μB/f.u. Its calculated volume is 18.52 A^3/atom.



Stability ranking, top entry: arrangement A; the second entry is 40.7 kJ/mol of atoms less favorable.



Arrangement A

Compound: YZnFeRe
Source: OQMD
Functional: GGA-PBE
Structure: optimized geometry

The structure belongs to space group F-43m (No. 216); the cell edges are 6.4929, 6.4929 and 6.4929 Å and the angles 90.00°, 90.00° and 90.00°. The asymmetric unit holds Y at (0.0000, 0.0000, 0.0000), Zn at (0.2500, 0.2500, 0.2500), Fe at (0.0000, 0.0000, 0.5000) and Re at (0.2500, 0.2500, 0.7500).

For the total magnetization, the calculation gives 3.36 μB/f.u. Its calculated volume is 17.11 A^3/atom.



Arrangement B

Compound: YZnFeRe
Source: OQMD
Functional: GGA-PBE
Structure: optimized geometry

The structure belongs to space group F-43m (No. 216); the cell edges are 6.4660, 6.4660 and 6.4660 Å and the angles 90.00°, 90.00° and 90.00°. The asymmetric unit holds Y at (0.0000, 0.0000, 0.0000), Zn at (0.0000, 0.0000, 0.5000), Fe at (0.2500, 0.2500, 0.7500) and Re at (0.2500, 0.2500, 0.2500).

For the total magnetization, the calculation gives 3.52 μB/f.u. Its calculated volume is 16.90 A^3/atom.



Stability ranking, top entry: arrangement A; the second entry is 10.1 kJ/mol of atoms less favorable.



Arrangement A

Compound: Fe2SeS3
Source: OQMD
Functional: GGA-PBE
Structure: optimized geometry

The structure belongs to space group Cm (No. 8); the cell edges are 20.0882, 3.1515 and 5.5237 Å and the angles 90.00°, 90.05° and 90.00°. The asymmetric unit holds Fe at (0.0000, 0.0000, 0.0000), Fe at (0.0003, 0.5000, 0.4709), Se at (0.0760, 0.5000, 0.8142), S at (0.0700, 0.0000, 0.3204), S at (0.4316, 0.5000, 0.3200) and S at (0.4381, 0.0000, 0.8145).

For the total magnetization, the calculation gives 2.61 μB/f.u. Its calculated volume is 29.14 A^3/atom.



Arrangement B

Compound: Fe2SeS3
Source: OQMD
Functional: GGA-PBE
Structure: optimized geometry

The structure belongs to space group Pm (No. 6); the cell edges are 4.5347, 3.4287 and 5.5019 Å and the angles 90.00°, 91.14° and 90.00°. The asymmetric unit holds Fe at (0.0000, 0.0000, 0.0000), Fe at (0.4839, 0.5000, 0.5129), Se at (0.7858, 0.0000, 0.3802), S at (0.2077, 0.0000, 0.6388), S at (0.2865, 0.5000, 0.1328) and S at (0.7049, 0.5000, 0.8794).

For the total magnetization, the calculation gives 0.01 μB/f.u. Its calculated volume is 14.25 A^3/atom.



Stability ranking, top entry: arrangement B; the second entry is 19.8 kJ/mol of atoms less favorable.